LiHg2Cl | PBEsol | optimized geometry

## Properties
- polymorph energy (0 for the lowest one) (eV/atom) = 0.003
- total magnetization (μB per cell) = 0.0
- raw formation energy (meV/atom) = -758
- crystal system = tetragonal

a = 3.3843 Å, b = 3.3843 Å, c = 8.8918 Å
α = 90.00°, β = 90.00°, γ = 90.00°
Closest atoms and distances in Å follow each position.
Space group P4mm (No. 99)
Inequivalent atoms, fractional coordinates:
Li1 0.0000 0.0000 0.0000 x1  4 Cl 2.39
Hg1 0.0000 0.0000 0.3445 x1  1 Li 3.06, 8 Hg 3.28-3.38
Hg2 0.5000 0.5000 0.5963 x1  8 Hg 3.28-3.38, 1 Cl 3.51
Cl1 0.5000 0.5000 0.9905 x1  4 Li 2.39